A | La3YHo: relaxed, PBE.

- Fermi-level density of states (states/eV/cell) = 31.743

Cell and atoms, written as extended XYZ:
```
20
Lattice="-2.4488 -3.4929 4.5147 2.5783 -7.3133 -4.2597 11.2666 0.2843 6.3311" Properties=species:S:1:pos:R:3 pbc="T T T"
La 4.3766 -4.3467 4.0334
La 6.9415 -2.5664 2.5294
La 7.4391 -3.9763 6.7354
La 3.0302 -2.3721 1.3125
La -0.3327 -3.2737 2.3092
La 10.8178 -1.2767 5.6298
La 0.5783 -9.2452 0.9563
La 11.7288 -7.2482 4.2768
La 8.3659 -8.1498 5.2736
La 3.9570 -6.5456 -0.1493
La 4.4546 -7.9555 4.0567
La 7.0195 -6.1752 2.5526
Y 1.5215 -2.5349 5.2730
Y 7.2963 -0.6736 5.5727
Y 9.6683 -4.3030 4.0514
Y 1.7277 -6.2189 2.5346
Ho 4.3815 -0.7472 3.9348
Ho 4.4363 -2.4614 6.9110
Ho 1.3166 -4.5137 -0.6418
Ho 10.0795 -6.0082 7.2278
```

B | La3YHo: relaxed, PBE.

- Fermi-level density of states (states/eV/cell) = 29.608

Cell and atoms, written as extended XYZ:
```
20
Lattice="-0.9740 6.6049 0.8332 -4.3493 0.2189 9.4118 8.4482 2.6097 5.4188" Properties=species:S:1:pos:R:3 pbc="T T T"
La 3.9693 3.4017 11.7724
La 1.2882 3.0369 2.9613
La -0.8443 6.0319 3.8913
La 1.8367 6.3967 12.7025
La -1.9248 2.4312 3.9756
La 0.7479 2.8053 12.7657
La 5.0497 7.0024 11.6881
La 2.3770 6.6283 2.8980
La 4.7614 2.5874 8.1410
La 3.6280 4.4363 5.6155
La -1.6365 6.8463 7.5227
La -0.5031 4.9973 10.0483
Y 2.7917 5.5844 9.0923
Y 1.6092 7.4810 6.4379
Y 0.3332 3.8492 6.5714
Y 1.5157 1.9526 9.2258
Ho -4.2508 5.3275 9.7780
Ho 7.3757 4.1061 5.8858
Ho 5.2823 7.1085 6.8035
Ho -2.1574 2.3252 8.8602
```

Most stable one: B, least stable one: A.

A | La4YHo2: relaxed, PBE.

- Fermi-level density of states (states/eV/cell) = 24.484

Cell and atoms, written as extended XYZ:
```
14
Lattice="12.2598 -3.1480 -1.5728 -9.6051 8.2433 -1.5730 0.0154 0.0295 6.8856" Properties=species:S:1:pos:R:3 pbc="T T T"
La 7.0719 -0.7838 4.5325
La -4.7024 5.3317 1.0896
La -5.3011 5.9920 4.6727
La 7.9407 -0.9256 1.2299
La -0.9156 1.0778 3.8296
La 1.1346 3.1866 -0.8725
La 1.9691 2.7706 2.5703
La 1.4003 -0.1474 0.3869
Y -1.2862 4.2019 1.7365
Y 4.1884 1.3685 5.1793
Ho 4.7013 0.6025 1.6677
Ho 10.2787 -2.0351 -1.3053
Ho -7.5502 7.2723 2.1374
Ho -2.1925 4.2128 5.1104
```

B | La4YHo2: relaxed, PBE.

- Fermi-level density of states (states/eV/cell) = 20.300

Cell and atoms, written as extended XYZ:
```
14
Lattice="-1.5195 6.5293 -1.8964 -3.1718 0.5065 -8.5116 -8.7051 2.1411 1.5497" Properties=species:S:1:pos:R:3 pbc="T T T"
La -4.3589 1.9146 -2.7126
La -10.3009 3.2395 -6.1871
La -7.5687 3.1858 -1.3375
La -8.4264 6.8714 -2.4080
La -4.9700 2.3056 -6.4504
La -3.0955 5.9375 -2.6713
La -5.8277 5.9911 -7.5208
La -9.0375 7.2623 -6.1458
Y -1.5859 0.2533 -4.2558
Y -2.3457 3.5179 -5.2040
Ho -7.5374 3.3469 -8.0315
Ho -0.7598 3.2646 -0.9482
Ho -6.6982 4.5885 -4.4292
Ho -5.8590 5.8300 -0.8269
```

Most stable one: A, least stable one: B.

A | LaY4Ho2: relaxed, PBE.

- Fermi-level density of states (states/eV/cell) = 24.310

Cell and atoms, written as extended XYZ:
```
14
Lattice="-5.4859 -1.0183 0.9762 3.8785 -3.8780 1.3169 1.4877 6.7006 15.3505" Properties=species:S:1:pos:R:3 pbc="T T T"
La -1.6195 4.4866 12.0132
La 1.4998 -2.6823 5.6304
Y -1.7788 -2.4446 3.8878
Y -1.4627 -1.0211 7.1489
Y 1.6590 4.2489 13.7558
Y 1.3430 2.8254 10.4946
Y -0.8623 1.5611 13.2168
Y 0.7426 0.2432 4.4268
Y -2.7430 -0.5091 0.4881
Y -1.9991 2.8411 8.1633
Ho 1.0353 1.5274 7.4113
Ho -0.5777 2.8768 16.1884
Ho 0.4580 -1.0725 1.4552
Ho -1.1550 0.2769 10.2323
```

B | LaY4Ho2: relaxed, PBE.

- Fermi-level density of states (states/eV/cell) = 10.981

Cell and atoms, written as extended XYZ:
```
7
Lattice="3.5377 -0.2440 0.3198 -2.6763 8.3685 -3.5900 0.9483 -1.1295 8.4312" Properties=species:S:1:pos:R:3 pbc="T T T"
La 0.0000 0.0000 0.0000
Y 0.1219 5.1335 2.5597
Y 3.0963 0.4011 5.7053
Y 1.6878 1.8616 2.6013
Y -1.2866 6.5940 -0.5443
Ho 0.2577 3.3663 -0.2453
Ho 1.5520 3.6288 5.4063
```

Most stable one: B, least stable one: A.

A | La8Y2Ho: relaxed, PBE.

- Fermi-level density of states (states/eV/cell) = 16.980

Cell and atoms, written as extended XYZ:
```
11
Lattice="5.5705 0.0009 -1.6895 -1.0066 7.4532 -3.3149 -0.0956 -0.2337 9.6932" Properties=species:S:1:pos:R:3 pbc="T T T"
La 2.6617 6.1381 -1.2571
La 1.4053 4.0529 4.6245
La 0.7209 1.1477 2.3619
La -0.2907 2.1550 -0.9580
La 3.7474 6.0726 2.3270
La 3.0630 3.1673 0.0643
La 1.8066 1.0821 5.9460
La 4.7590 5.0652 5.6469
Y 0.3801 5.1401 1.2542
Y 4.0882 2.0801 3.4347
Ho 2.7853 0.0004 -0.8447
```

B | La8Y2Ho: relaxed, PBE.

- Fermi-level density of states (states/eV/cell) = 15.663

Cell and atoms, written as extended XYZ:
```
11
Lattice="-2.1930 5.3643 1.8343 -4.6883 1.3052 7.9107 4.9213 2.2399 7.9994" Properties=species:S:1:pos:R:3 pbc="T T T"
La -1.0636 5.0247 4.1570
La 0.3985 6.5089 10.2309
La -2.6280 2.1564 3.8751
La -2.8095 4.6373 10.4839
La 0.8495 4.2720 7.2604
La -4.2532 4.5131 5.8699
La -2.3585 2.4005 7.5134
La -0.8964 3.8846 13.5873
Y 0.3993 1.2520 5.4824
Y -0.1664 2.2931 10.4276
Ho -1.0965 2.6821 0.9172
```

Most stable one: A, least stable one: B.